Entry 1:
A plane-wave DFT calculation with GGA-PBE was carried out for a relaxed YTmRe2Si2C crystal.

a = 5.7990 Å, b = 5.7990 Å, c = 6.8972 Å
α = 124.69°, β = 124.69°, γ = 40.16°
Sites, in units of the cell vectors:
C: 0.9989 0.9989 0.9965
Re: 0.2078 0.2078 0.0926
Re: 0.7917 0.7917 0.9067
Si: 0.8592 0.8592 0.3217
Y: 0.5729 0.5729 0.3001
Tm: 0.4282 0.4282 0.7021
Si: 0.1413 0.1413 0.6803

Computed properties:
Spin magnetization ... 0.00 μB/atom
Total energy ... -8.5857 eV/atom

---

Entry 2:
A plane-wave DFT calculation with GGA-PBE was carried out for a relaxed Y2Re2Si2C crystal.

a = 5.8325 Å, b = 5.8325 Å, c = 6.9478 Å
α = 124.91°, β = 124.91°, γ = 40.08°
Sites, in units of the cell vectors:
Y: 0.5724 0.5724 0.3002
Re: 0.2073 0.2073 0.0924
C: 0.0000 0.0000 0.0000
Y: 0.4276 0.4276 0.6998
Si: 0.8578 0.8578 0.3171
Si: 0.1422 0.1422 0.6829
Re: 0.7927 0.7927 0.9076

Computed properties:
Spin magnetization ... 0.00 μB/atom
Total energy ... -8.8762 eV/atom

---

Entry 3:
A plane-wave DFT calculation with GGA-PBE was carried out for a relaxed Sm2ReC2 crystal.

a = 6.6702 Å, b = 5.2623 Å, c = 10.0702 Å
α = 90.00°, β = 90.00°, γ = 90.00°
Sites, in units of the cell vectors:
Re: 0.7282 0.7500 0.8607
Sm: 0.5269 0.7500 0.2150
C: 0.6829 0.2500 0.5426
C: 0.8171 0.7500 0.0426
Sm: 0.6860 0.7500 0.5524
C: 0.0362 0.2500 0.2586
Sm: 0.1860 0.7500 0.9476
Re: 0.7718 0.2500 0.3607
C: 0.1829 0.2500 0.9574
Re: 0.2718 0.2500 0.1393
Sm: 0.4731 0.2500 0.7850
Sm: 0.3140 0.2500 0.4476
C: 0.4638 0.7500 0.7586
Re: 0.2282 0.7500 0.6393
Sm: 0.9731 0.2500 0.7150
Sm: 0.0269 0.7500 0.2850
C: 0.3171 0.7500 0.4574
Sm: 0.8140 0.2500 0.0524
C: 0.9638 0.7500 0.7414
C: 0.5362 0.2500 0.2414

Computed properties:
Spin magnetization ... 0.00 μB/atom
Total energy ... -8.3727 eV/atom

---

Entry 4:
A plane-wave DFT calculation with GGA-PBE was carried out for a relaxed Sr2ReWC6 crystal.

a = 5.8396 Å, b = 5.8396 Å, c = 5.8396 Å
α = 120.01°, β = 120.01°, γ = 89.98°
Sites, in units of the cell vectors:
C: 0.2465 0.2574 0.5039
C: 0.7535 0.7426 0.4961
C: 0.7481 0.7481 0.0000
Re: 0.5000 0.5000 0.0000
C: 0.2574 0.7535 0.0110
W: 0.0000 0.0000 0.0000
Sr: 0.7500 0.2500 0.5000
C: 0.7426 0.2465 0.9890
C: 0.2519 0.2519 0.0000
Sr: 0.2500 0.7500 0.5000

Computed properties:
Spin magnetization ... 0.00 μB/atom
Total energy ... -7.5232 eV/atom

---

Entry 5:
A plane-wave DFT calculation with GGA-PBE was carried out for a relaxed Tb2ReC2 crystal.

a = 6.5950 Å, b = 5.1453 Å, c = 9.9056 Å
α = 90.00°, β = 90.00°, γ = 90.00°
Sites, in units of the cell vectors:
Tb: 0.3183 0.2500 0.4451
Tb: 0.1817 0.7500 0.9451
Tb: 0.5302 0.7500 0.2157
Tb: 0.8183 0.2500 0.0549
Re: 0.7769 0.2500 0.3646
Tb: 0.0302 0.7500 0.2843
Re: 0.2231 0.7500 0.6354
Tb: 0.6817 0.7500 0.5549
Tb: 0.4698 0.2500 0.7843
C: 0.0428 0.2500 0.2590
C: 0.8214 0.7500 0.0483
Re: 0.2769 0.2500 0.1354
C: 0.4572 0.7500 0.7590
Re: 0.7231 0.7500 0.8646
C: 0.3214 0.7500 0.4517
Tb: 0.9698 0.2500 0.7157
C: 0.9572 0.7500 0.7410
C: 0.5428 0.2500 0.2410
C: 0.1786 0.2500 0.9517
C: 0.6786 0.2500 0.5483

Computed properties:
Spin magnetization ... 0.00 μB/atom
Total energy ... -8.4188 eV/atom

---

Entry 6:
A plane-wave DFT calculation with GGA-PBE was carried out for a relaxed Tb12Re5C15 crystal.

a = 10.7615 Å, b = 10.7615 Å, c = 5.1174 Å
α = 90.00°, β = 90.00°, γ = 120.00°
Sites, in units of the cell vectors:
Tb: 0.4561 0.2700 0.0000
Tb: 0.7300 0.1861 0.0000
Tb: 0.7947 0.0000 0.5000
Tb: 0.4264 0.0000 0.5000
Tb: 0.2700 0.4561 0.0000
Re: 0.0000 0.1514 0.0000
Tb: 0.0000 0.7947 0.5000
Tb: 0.8139 0.5439 0.0000
Tb: 0.5439 0.8139 0.0000
Tb: 0.5736 0.5736 0.5000
Re: 0.6667 0.3333 0.5000
C: 0.4686 0.2805 0.5000
C: 0.7853 0.0000 0.0000
C: 0.0000 0.3320 0.0000
C: 0.7195 0.1880 0.5000
Tb: 0.0000 0.4264 0.5000
C: 0.5314 0.8119 0.5000
Tb: 0.1861 0.7300 0.0000
Re: 0.1514 0.0000 0.0000
C: 0.6680 0.6680 0.0000
C: 0.2805 0.4686 0.5000
Re: 0.8486 0.8486 0.0000
C: 0.4581 0.0000 0.0000
C: 0.5419 0.5419 0.0000
C: 0.0000 0.7853 0.0000
C: 0.0000 0.4581 0.0000
C: 0.2147 0.2147 0.0000
C: 0.8119 0.5314 0.5000
Tb: 0.2053 0.2053 0.5000
C: 0.1880 0.7195 0.5000
C: 0.3320 0.0000 0.0000
Re: 0.3333 0.6667 0.5000

Computed properties:
Spin magnetization ... 0.00 μB/atom
Total energy ... -8.3467 eV/atom